(1)
VASP calculation (PBE-GGA) on TlIn2Fe after structural relaxation.

Summary:
The formation energy comes out at 0.45 eV/atom. The total magnetic moment comes out at 3.1 μB per formula unit. The total energy comes out at -29.0 eV/cell. For the energy above the most stable polymorph in this dataset, the calculation gives 207 meV per atom.

Lattice parameters (Å, degrees): 6.1100 9.2771 3.2120 90.00 90.00 90.00
With the nearest neighbours (Å) after each atom.
Space group Cmmm (No. 65)
Unique sites:
Tl 0.0000 0.0000 0.0000  2 Fe 3.06, 8 In 3.21, 2 Tl 3.21
In 0.2500 0.2500 0.5000  4 In 3.06-3.21, 4 Tl 3.21, 4 Fe 3.21
Fe 0.0000 0.5000 0.0000  2 Tl 3.06, 8 In 3.21, 2 Fe 3.21

***

(2)
VASP calculation (PBE-GGA) on TlInFe4 after structural relaxation.

Summary:
The formation energy comes out at 0.31 eV/atom. The total magnetic moment comes out at 9.4 μB per formula unit. The total energy comes out at -148.4 eV/cell.

Lattice parameters (Å, degrees): 7.1592 7.1592 7.1592 90.00 90.00 90.00
With the nearest neighbours (Å) after each atom.
Space group F-43m (No. 216)
Unique sites:
Tl 0.0000 0.0000 0.0000  12 Fe 2.97, 4 In 3.10
In 0.2500 0.2500 0.7500  12 Fe 2.97, 4 Tl 3.10
Fe 0.1245 0.1245 0.3755  6 Fe 2.52-2.54

***

(3)
VASP calculation (PBE-GGA) on TlInFe2 after structural relaxation.

Summary:
The formation energy comes out at 0.60 eV/atom. The total magnetic moment comes out at 4.7 μB per formula unit. The total energy comes out at -58.9 eV/cell. For the energy above the most stable polymorph in this dataset, the calculation gives 260 meV per atom.

Lattice parameters (Å, degrees): 3.0496 3.0496 26.4946 90.00 90.00 120.00
With the nearest neighbours (Å) after each atom.
Space group R-3m (No. 166, hexagonal axes)
Unique sites:
Tl 0.0000 0.0000 0.0000  6 Fe 2.85, 6 Tl 3.05
In 0.0000 0.0000 0.5000  6 Fe 2.80, 6 In 3.05
Fe 0.0000 0.0000 0.2488  3 In 2.80, 3 Tl 2.85, 6 Fe 3.05

***

(4)
VASP calculation (PBE-GGA) on TlInFe after structural relaxation.

Summary:
The formation energy comes out at 0.47 eV/atom. The total magnetic moment comes out at 2.5 μB per formula unit. The total energy comes out at -24.3 eV/cell.

Lattice parameters (Å, degrees): 3.2794 3.2794 11.8795 90.00 90.00 90.00
With the nearest neighbours (Å) after each atom.
Space group I4mm (No. 107)
Unique sites:
Tl 0.0000 0.0000 0.0000  4 Fe 2.94, 4 Tl 3.28
In 0.0000 0.0000 0.7205  4 Fe 2.77
Fe 0.0000 0.0000 0.3473  4 In 2.77, 4 Tl 2.94

***

(5)
VASP calculation (PBE-GGA) on TlIn2Fe after structural relaxation.

Summary:
The formation energy comes out at 0.50 eV/atom. The total magnetic moment comes out at 2.8 μB per formula unit. The total energy comes out at -57.2 eV/cell. For the energy above the most stable polymorph in this dataset, the calculation gives 262 meV per atom.

Lattice parameters (Å, degrees): 4.3920 4.3920 19.9860 90.00 90.00 90.00
With the nearest neighbours (Å) after each atom.
Space group I-42d (No. 122)
Unique sites:
Tl 0.0000 0.0000 0.0000  4 In 3.00, 4 Fe 3.11
In 0.2182 0.2500 0.6250  2 Fe 2.89, 2 In 2.92, 2 Tl 3.00
Fe 0.0000 0.0000 0.5000  4 In 2.89, 4 Tl 3.11

***

(6)
VASP calculation (PBE-GGA) on TlIn2Fe after structural relaxation.

Summary:
The formation energy comes out at 0.38 eV/atom. The total magnetic moment comes out at 2.5 μB per formula unit. The total energy comes out at -14.8 eV/cell. For the energy above the most stable polymorph in this dataset, the calculation gives 141 meV per atom.

Lattice parameters (Å, degrees): 3.8573 4.2121 5.9904 90.00 108.09 90.00
With the nearest neighbours (Å) after each atom.
Space group Pm (No. 6)
Unique sites:
Tl 0.0000 0.0000 0.0000  4 Fe 2.95-2.96, 3 In 3.13-3.21
In 0.3206 0.5000 0.6404  1 Fe 2.79, 4 In 3.07-3.09
In 0.7179 0.0000 0.4366  2 Fe 2.73
Fe 0.5607 0.5000 0.1306  3 In 2.73-2.79, 4 Tl 2.95-2.96

***

(7)
VASP calculation (PBE-GGA) on TlInFe after structural relaxation.

Summary:
The formation energy comes out at 0.48 eV/atom. The total magnetic moment comes out at 2.6 μB per formula unit. The total energy comes out at -12.1 eV/cell.

Lattice parameters (Å, degrees): 3.2249 3.2249 7.0998 90.00 90.00 120.00
With the nearest neighbours (Å) after each atom.
Space group P3m1 (No. 156)
Unique sites:
Tl 0.0000 0.0000 0.0000  3 Fe 2.90, 6 Tl 3.22
In 0.3333 0.6667 0.6045  3 Fe 2.79
Fe 0.6667 0.3333 0.3124  3 In 2.79, 3 Tl 2.90

***

(8)
VASP calculation (PBE-GGA) on TlIn2Fe2 after structural relaxation.

Summary:
The formation energy comes out at 0.51 eV/atom. The total magnetic moment comes out at 4.9 μB per formula unit. The total energy comes out at -44.4 eV/cell. For the energy above the most stable polymorph in this dataset, the calculation gives 180 meV per atom.

Lattice parameters (Å, degrees): 4.1318 4.1318 12.1803 90.00 90.00 90.00
With the nearest neighbours (Å) after each atom.
Space group I4/mmm (No. 139)
Unique sites:
Tl 0.0000 0.0000 0.0000  8 Fe 3.13
In 0.0000 0.5000 0.2500  4 Fe 2.82, 4 In 2.92
Fe 0.0000 0.0000 0.4077  1 Fe 2.25

***

(9)
VASP calculation (PBE-GGA) on TlInFe2 after structural relaxation.

Summary:
The formation energy comes out at 0.52 eV/atom. The total magnetic moment comes out at 5.0 μB per formula unit. The total energy comes out at -19.9 eV/cell. For the energy above the most stable polymorph in this dataset, the calculation gives 185 meV per atom.

Lattice parameters (Å, degrees): 2.9564 3.9795 6.0417 90.00 90.39 90.00
With the nearest neighbours (Å) after each atom.
Space group P2/m (No. 10)
Unique sites:
Tl 0.0000 0.0000 0.0000  2 Tl 2.96, 8 Fe 3.01-3.04, 2 In 3.02
In 0.0000 0.0000 0.5000  8 Fe 2.79-2.80, 2 In 2.96, 2 Tl 3.02
Fe 0.4958 0.5000 0.2867  1 Fe 2.58, 4 In 2.79-2.80

***

(10)
VASP calculation (PBE-GGA) on TlIn2Fe after structural relaxation.

Summary:
The formation energy comes out at 0.29 eV/atom. The total magnetic moment comes out at 2.2 μB per formula unit. The total energy comes out at -30.3 eV/cell. For the energy above the most stable polymorph in this dataset, the calculation gives 48 meV per atom.

Lattice parameters (Å, degrees): 2.9974 4.6942 13.1937 90.00 90.00 90.00
With the nearest neighbours (Å) after each atom.
Space group Immm (No. 71)
Unique sites:
Tl 0.0000 0.0000 0.0000  4 Fe 2.78, 2 Tl 3.00
In 0.0000 0.5000 0.1830  2 Fe 2.84, 2 In 3.00
Fe 0.0000 0.0000 0.5000  4 Tl 2.78, 4 In 2.84, 2 Fe 3.00

***

(11)
VASP calculation (PBE-GGA) on TlIn2Fe after structural relaxation.

Summary:
The formation energy comes out at 0.25 eV/atom. The total magnetic moment comes out at 2.4 μB per formula unit. The total energy comes out at -15.3 eV/cell. For the energy above the most stable polymorph in this dataset, the calculation gives 9 meV per atom.

Lattice parameters (Å, degrees): 3.1520 3.1520 9.1398 90.00 90.00 90.00
With the nearest neighbours (Å) after each atom.
Space group P4/mmm (No. 123)
Unique sites:
Tl 0.0000 0.0000 0.0000  4 Tl 3.15
In 0.5000 0.5000 0.3107  4 Fe 2.82, 4 In 3.15
Fe 0.0000 0.0000 0.5000  8 In 2.82, 4 Fe 3.15

***

(12)
VASP calculation (PBE-GGA) on TlIn2Fe after structural relaxation.

Summary:
The formation energy comes out at 0.39 eV/atom. The total magnetic moment comes out at 2.5 μB per formula unit. The total energy comes out at -14.7 eV/cell. For the energy above the most stable polymorph in this dataset, the calculation gives 150 meV per atom.

Lattice parameters (Å, degrees): 3.5879 4.6976 5.7589 90.00 105.33 90.00
With the nearest neighbours (Å) after each atom.
Space group P2/m (No. 10)
Unique sites:
Tl 0.0000 0.0000 0.0000  2 Fe 2.88
In 0.3586 0.5000 0.7223  2 Fe 2.82, 3 In 2.99-3.11
Fe 0.0000 0.0000 0.5000  4 In 2.82, 2 Tl 2.88